1.
Material: Hf3TaAs2C2
Method: DFT, PBE-GGA
State: optimized geometry

```
Hf3TaAs2C2
1.0
3.391 0.000 0.000
-1.696 2.937 0.000
0.000 0.000 12.415
Hf Ta As C
3 1 2 2
Cartesian
0.000 0.000 0.000
0.000 0.000 3.820
1.696 0.979 6.294
1.696 0.979 10.049
0.000 0.000 8.238
1.696 0.979 1.911
0.000 1.958 5.052
0.000 1.958 11.190
```

Results
Space-group type: No. 156
Mass density, g cm⁻³: 12.0
Crystal system: trigonal
Total DFT energy (no corrections), eV/cell: -76.65

2.
Material: Ba2HfZrN4
Method: DFT, PBE-GGA
State: optimized geometry

```
Ba2HfZrN4
1.0
4.155 0.000 0.000
0.000 4.155 0.000
0.000 0.000 8.394
Ba Hf Zr N
2 1 1 4
Cartesian
0.000 0.000 0.000
2.078 2.078 2.555
0.000 0.000 4.703
2.078 2.078 6.163
0.000 0.000 2.716
0.000 2.078 5.390
2.078 0.000 5.390
2.078 2.078 8.168
```

Results
Space-group type: No. 99
Mass density, g cm⁻³: 6.9
Crystal system: tetragonal
Total DFT energy (no corrections), eV/cell: -66.01

3.
Material: GdTmCS
Method: DFT, PBE-GGA
State: optimized geometry

```
GdTmCS
1.0
3.696 0.000 0.000
-1.848 3.201 0.000
0.000 0.000 12.886
Gd Tm C S
2 2 2 2
Cartesian
0.000 2.134 1.383
1.848 1.067 11.504
0.000 2.134 5.141
1.848 1.067 7.746
0.000 0.000 0.000
0.000 0.000 6.443
0.000 2.134 9.584
1.848 1.067 3.303
```

Results
Space-group type: No. 164
Mass density, g cm⁻³: 8.1
Crystal system: trigonal
Total DFT energy (no corrections), eV/cell: -54.97

4.
Material: HgGeSO
Method: DFT, PBE-GGA
State: optimized geometry

```
HgGeSO
1.0
4.782 0.000 0.000
0.000 4.782 0.000
0.000 0.000 7.519
Hg Ge S O
2 2 2 2
Cartesian
1.195 1.195 1.506
3.586 3.586 6.012
1.195 3.586 3.759
3.586 1.195 3.759
1.195 1.195 4.828
3.586 3.586 2.691
1.195 1.195 6.354
3.586 3.586 1.165
```

Results
Space-group type: No. 129
Mass density, g cm⁻³: 6.2
Crystal system: tetragonal
Energy above the most stable polymorph in this dataset, meV per atom: 620.7

5.
Material: RbHfHg3O4
Method: DFT, PBE-GGA
State: optimized geometry

```
RbHfHg3O4
1.0
6.031 0.000 0.000
0.000 6.031 0.000
0.000 0.000 6.031
Rb Hf Hg O
1 1 3 4
Cartesian
0.000 0.000 0.000
3.015 3.015 3.015
0.000 3.015 3.015
3.015 0.000 3.015
3.015 3.015 0.000
1.863 1.863 1.863
1.863 4.168 4.168
4.168 1.863 4.168
4.168 4.168 1.863
```

Results
Space-group type: No. 215
Mass density, g cm⁻³: 7.0
Crystal system: cubic
Total DFT energy (no corrections), eV/cell: -42.00

6.
Material: ZrIn3
Method: DFT, PBE-GGA
State: optimized geometry

```
ZrIn3
1.0
-2.139 2.139 4.953
2.139 -2.139 4.953
2.139 2.139 -4.953
Zr In
1 3
Cartesian
0.000 0.000 0.000
2.139 0.000 2.477
0.000 0.000 4.953
0.000 2.139 2.477
```

Results
Space-group type: No. 139
Mass density, g cm⁻³: 8.0
Crystal system: tetragonal
Total DFT energy (no corrections), eV/cell: -17.64

7.
Material: Lu4Nb2Sn3N3
Method: DFT, PBE-GGA
State: optimized geometry

```
Lu4Nb2Sn3N3
1.0
5.038 -2.924 0.000
5.038 2.924 0.000
-3.279 0.000 14.456
Lu Nb Sn N
8 4 6 6
Cartesian
0.845 0.494 1.266
0.881 0.482 5.962
-0.795 -0.494 8.495
-0.759 -0.482 13.190
7.556 0.482 1.266
7.592 0.494 5.962
5.917 -0.482 8.494
5.952 -0.494 13.190
4.229 0.471 1.124
4.208 0.471 6.104
2.590 -0.471 8.352
2.568 -0.471 13.332
4.218 2.279 3.614
1.038 0.405 10.841
2.678 -0.405 3.612
4.120 0.405 10.844
5.759 -0.405 3.616
2.579 -2.279 10.842
2.519 1.462 0.000
2.546 1.485 7.226
5.891 1.485 0.002
0.879 -1.462 7.228
0.906 -1.485 14.454
4.251 -1.485 7.230
```

Results
Space-group type: No. 15
Mass density, g cm⁻³: 10.0
Crystal system: monoclinic
Total DFT energy (no corrections), eV/cell: -174.82

8.
Material: FeSnHgPt
Method: DFT, PBE-GGA
State: optimized geometry

```
FeSnHgPt
1.0
0.000 3.292 3.292
3.292 0.000 3.292
3.292 3.292 0.000
Fe Sn Hg Pt
1 1 1 1
Cartesian
0.000 0.000 0.000
4.938 4.938 4.938
1.646 1.646 1.646
3.292 3.292 3.292
```

Results
Space-group type: No. 216
Mass density, g cm⁻³: 13.3
Crystal system: cubic
Energy above the most stable polymorph in this dataset, meV per atom: 0.0

9.
Material: KSmInS3
Method: DFT, PBE-GGA
State: optimized geometry

```
KSmInS3
1.0
2.067 -7.746 0.000
2.067 7.746 0.000
0.000 0.000 11.351
K Sm In S
2 2 2 6
Cartesian
2.067 4.797 8.513
2.067 -4.797 2.838
2.067 0.000 0.000
2.067 0.000 5.675
2.067 6.238 2.838
2.067 -6.238 8.513
2.067 5.856 0.224
2.067 5.856 5.451
2.067 0.253 2.838
2.067 -0.253 8.513
2.067 -5.856 5.900
2.067 -5.856 11.127
```

Results
Space-group type: No. 63
Mass density, g cm⁻³: 3.7
Crystal system: orthorhombic
Total DFT energy (no corrections), eV/cell: -56.35

10.
Material: RbCoNiSe3
Method: DFT, PBE-GGA
State: optimized geometry

```
RbCoNiSe3
1.0
1.817 -7.663 0.000
1.817 7.663 0.000
0.000 0.000 9.666
Rb Co Ni Se
2 2 2 6
Cartesian
1.817 3.885 7.250
1.817 -3.885 2.417
0.000 0.000 0.000
0.000 0.000 4.833
1.817 0.510 2.417
1.817 -0.510 7.250
1.817 6.738 2.417
1.817 1.580 0.380
1.817 1.580 4.453
1.817 -1.580 5.213
1.817 -1.580 9.286
1.817 -6.738 7.250
```

Results
Space-group type: No. 63
Mass density, g cm⁻³: 5.4
Crystal system: orthorhombic
Total DFT energy (no corrections), eV/cell: -53.27

11.
Material: Tb2ErCu4Sn2Ge2
Method: DFT, PBE-GGA
State: optimized geometry

```
Tb2ErCu4Sn2Ge2
1.0
-2.155 3.445 7.167
2.155 -3.445 7.167
2.155 3.445 -7.167
Tb Er Cu Sn Ge
2 1 4 2 2
Cartesian
0.000 0.000 1.938
0.000 0.000 12.395
0.000 3.445 0.000
2.155 2.142 -2.546
2.155 2.142 2.546
0.000 1.303 4.620
0.000 1.303 9.713
2.155 1.405 0.000
0.000 2.040 7.167
2.155 0.000 4.085
0.000 3.445 3.082
```

Results
Space-group type: No. 71
Mass density, g cm⁻³: 8.8
Crystal system: orthorhombic
Energy above the most stable polymorph in this dataset, meV per atom: 63.9

12.
Material: BaPrSnTe3
Method: DFT, PBE-GGA
State: optimized geometry

```
BaPrSnTe3
1.0
2.321 -8.348 0.000
2.321 8.348 0.000
0.000 0.000 11.117
Ba Pr Sn Te
2 2 2 6
Cartesian
2.321 4.516 8.338
2.321 -4.516 2.779
0.000 0.000 0.000
0.000 0.000 5.558
2.321 0.380 2.779
2.321 -0.380 8.338
2.321 6.421 2.779
2.321 2.305 0.439
2.321 2.305 5.120
2.321 -2.305 5.997
2.321 -2.305 10.678
2.321 -6.421 8.338
```

Results
Space-group type: No. 63
Mass density, g cm⁻³: 6.0
Crystal system: orthorhombic
Total DFT energy (no corrections), eV/cell: -52.75

13.
Material: ErTlAsO
Method: DFT, PBE-GGA
State: optimized geometry

```
ErTlAsO
1.0
4.155 0.000 0.000
0.000 4.155 0.000
0.000 0.000 9.691
Er Tl As O
2 2 2 2
Cartesian
1.039 1.039 0.956
3.116 3.116 8.735
1.039 3.116 4.845
3.116 1.039 4.845
1.039 1.039 7.060
3.116 3.116 2.631
1.039 3.116 0.000
3.116 1.039 0.000
```

Results
Space-group type: No. 129
Mass density, g cm⁻³: 9.2
Crystal system: tetragonal
Energy above the most stable polymorph in this dataset, meV per atom: 0.0

14.
Material: PrDyAlOs2
Method: DFT, PBE-GGA
State: optimized geometry

```
PrDyAlOs2
1.0
-2.122 2.813 4.501
2.122 -2.813 4.501
2.122 2.813 -4.501
Pr Dy Al Os
1 1 1 2
Cartesian
0.000 0.000 0.000
0.000 0.000 5.339
2.122 0.000 2.670
2.122 1.247 -1.848
0.000 1.566 2.653
```

Results
Space-group type: No. 44
Mass density, g cm⁻³: 11.0
Crystal system: orthorhombic
Total DFT energy (no corrections), eV/cell: -37.10

15.
Material: La2PrGdZn12Ge6
Method: DFT, PBE-GGA
State: optimized geometry

```
La2PrGdZn12Ge6
1.0
7.687 0.000 0.000
0.000 4.117 0.000
-0.001 0.000 13.316
La Pr Gd Zn Ge
2 1 1 12 6
Cartesian
0.000 0.000 0.000
3.840 0.000 6.634
3.841 0.000 11.084
7.686 0.000 4.428
1.102 2.058 6.939
1.106 2.058 10.784
1.450 0.000 8.884
1.621 2.058 2.215
3.072 0.000 3.452
3.144 0.000 0.943
4.942 2.058 4.128
4.958 2.058 0.302
5.297 0.000 2.256
5.476 2.058 8.851
6.942 0.000 10.105
6.989 0.000 7.578
2.336 2.058 4.738
2.382 2.058 12.990
2.929 2.058 8.862
6.220 2.058 11.400
6.243 2.058 6.293
6.783 2.058 2.251
```

Results
Space-group type: No. 6
Mass density, g cm⁻³: 7.1
Crystal system: monoclinic
Total DFT energy (no corrections), eV/cell: -71.74

16.
Material: CsLuBi
Method: DFT, PBE-GGA
State: optimized geometry

```
CsLuBi
1.0
0.000 4.054 4.054
4.054 0.000 4.054
4.054 4.054 0.000
Cs Lu Bi
1 1 1
Cartesian
0.000 0.000 0.000
4.054 4.054 4.054
2.027 2.027 2.027
```

Results
Space-group type: No. 216
Mass density, g cm⁻³: 6.4
Crystal system: cubic
Energy above the most stable polymorph in this dataset, meV per atom: 0.0

17.
Material: TbSm5Se6
Method: DFT, PBE-GGA
State: optimized geometry

```
TbSm5Se6
1.0
3.597 -6.246 0.000
3.597 6.246 0.000
-2.409 0.000 6.763
Tb Sm Se
1 5 6
Cartesian
0.000 0.000 0.000
2.393 4.126 3.382
3.597 2.090 0.000
2.393 0.000 3.382
3.597 -2.090 0.000
2.393 -4.126 3.382
1.180 2.051 1.669
-0.041 0.000 5.079
1.180 -2.051 1.669
3.605 2.051 5.094
4.826 0.000 1.685
3.605 -2.051 5.094
```

Results
Space-group type: No. 12
Mass density, g cm⁻³: 7.6
Crystal system: monoclinic
Total DFT energy (no corrections), eV/cell: -70.84

18.
Material: Zr5Pb3C
Method: DFT, PBE-GGA
State: optimized geometry

```
Zr5Pb3C
1.0
8.646 0.000 0.000
-4.323 7.487 0.000
0.000 0.000 5.931
Zr Pb C
10 6 2
Cartesian
-0.925 1.602 1.483
-3.398 5.885 4.448
1.850 0.000 1.483
0.925 1.602 4.448
0.000 4.991 0.000
0.000 4.991 2.966
4.323 2.496 0.000
4.323 2.496 2.966
6.796 0.000 4.448
3.398 5.885 1.483
-1.744 3.021 4.448
-2.578 4.466 1.483
3.489 0.000 4.448
1.744 3.021 1.483
5.157 0.000 1.483
2.578 4.466 4.448
0.000 0.000 0.000
0.000 0.000 2.966
```

Results
Space-group type: No. 193
Mass density, g cm⁻³: 9.4
Crystal system: hexagonal
Total DFT energy (no corrections), eV/cell: -133.82

19.
Material: LuTe3PbAu
Method: DFT, PBE-GGA
State: optimized geometry

```
LuTe3PbAu
1.0
9.829 -2.134 0.000
9.829 2.134 0.000
-1.603 0.000 8.664
Lu Te Pb Au
2 6 2 2
Cartesian
2.993 0.000 0.798
15.062 0.000 7.866
0.000 0.000 0.000
5.047 0.000 5.688
6.085 0.000 1.215
9.028 0.000 4.332
11.971 0.000 7.449
13.008 0.000 2.976
1.542 0.000 5.009
16.514 0.000 3.655
7.541 0.000 6.823
10.515 0.000 1.841
```

Results
Space-group type: No. 12
Mass density, g cm⁻³: 8.8
Crystal system: monoclinic
Energy above the most stable polymorph in this dataset, meV per atom: 32.8

20.
Material: GdTlIr
Method: DFT, PBE-GGA
State: optimized geometry

```
GdTlIr
1.0
0.000 3.351 3.351
3.351 0.000 3.351
3.351 3.351 0.000
Gd Tl Ir
1 1 1
Cartesian
0.000 0.000 0.000
1.675 1.675 1.675
3.351 3.351 3.351
```

Results
Space-group type: No. 216
Mass density, g cm⁻³: 12.2
Crystal system: cubic
Total DFT energy (no corrections), eV/cell: -15.24